# 1
Computed, not measured: a relaxed structure of Mg5Pb2 at the PBE level of DFT.

Cell and atoms, written as CIF:
```
data_Mg5Pb2
_cell_length_a 5.536
_cell_length_b 8.005
_cell_length_c 8.327
_cell_angle_alpha 93.71
_cell_angle_beta 90.06
_cell_angle_gamma 109.28
_symmetry_space_group_name_H-M 'P -1'
_symmetry_Int_Tables_number 2
_symmetry_space_group_name_Hall '-P 1'
loop_
_atom_site_label
_atom_site_fract_x
_atom_site_fract_y
_atom_site_fract_z
_atom_site_occupancy
Mg1 0.026 0.205 0.036 1
Mg2 0.119 0.071 0.682 1
Mg3 0.179 0.500 0.751 1
Mg4 0.325 0.795 0.464 1
Mg5 0.453 0.073 0.183 1
Pb1 0.223 0.334 0.397 1
Pb2 0.401 0.669 0.105 1
```

Properties
Distance to the lowest polymorph of the same formula   8 meV per atom
Energy of formation from the pure elements   -0.036 eV per atom


# 2
Computed, not measured: a relaxed structure of CsSiI2O at the PBE level of DFT.

Cell and atoms, written as CIF:
```
data_CsSiI2O
_cell_length_a 6.499
_cell_length_b 6.499
_cell_length_c 3.623
_cell_angle_alpha 90.00
_cell_angle_beta 90.00
_cell_angle_gamma 90.00
_symmetry_space_group_name_H-M 'P 4/m m m'
_symmetry_Int_Tables_number 123
_symmetry_space_group_name_Hall '-P 4 2'
loop_
_atom_site_label
_atom_site_fract_x
_atom_site_fract_y
_atom_site_fract_z
_atom_site_occupancy
Cs1 0.000 0.000 0.000 1
Si1 0.500 0.500 0.500 1
I1 0.000 0.500 0.500 1
O1 0.500 0.500 0.000 1
```

Properties
Distance to the lowest polymorph of the same formula   0 meV per atom
ΔE_f (raw)   -0.85 eV/atom


# 3
Computed, not measured: a relaxed structure of BeAlAs2 at the PBE level of DFT.

Cell and atoms, written as CIF:
```
data_BeAlAs2
_cell_length_a 3.343
_cell_length_b 3.343
_cell_length_c 5.690
_cell_angle_alpha 90.00
_cell_angle_beta 90.00
_cell_angle_gamma 90.00
_symmetry_space_group_name_H-M 'P 4/m m m'
_symmetry_Int_Tables_number 123
_symmetry_space_group_name_Hall '-P 4 2'
loop_
_atom_site_label
_atom_site_fract_x
_atom_site_fract_y
_atom_site_fract_z
_atom_site_occupancy
Be1 0.000 0.000 0.000 1
Al1 0.000 0.000 0.500 1
As1 0.500 0.500 0.229 1
```

Properties
Distance to the lowest polymorph of the same formula   514 meV per atom
Energy of formation from the pure elements   0.345 eV per atom


# 4
Computed, not measured: a relaxed structure of RuAuBr at the PBE level of DFT.

Cell and atoms, written as CIF:
```
data_RuAuBr
_cell_length_a 3.099
_cell_length_b 3.099
_cell_length_c 12.816
_cell_angle_alpha 90.00
_cell_angle_beta 90.00
_cell_angle_gamma 90.00
_symmetry_space_group_name_H-M 'I 4 m m'
_symmetry_Int_Tables_number 107
_symmetry_space_group_name_Hall 'I 4 -2'
loop_
_atom_site_label
_atom_site_fract_x
_atom_site_fract_y
_atom_site_fract_z
_atom_site_occupancy
Ru1 0.000 0.000 0.000 1
Au1 0.000 0.000 0.636 1
Br1 0.000 0.000 0.369 1
```

Properties
Distance to the lowest polymorph of the same formula   242 meV per atom
ΔE_f (raw)   0.66 eV/atom


# 5
Computed, not measured: a relaxed structure of Ga2Ni5Pt4 at the PBE level of DFT.

Cell and atoms, written as CIF:
```
data_Ga2Ni5Pt4
_cell_length_a 6.428
_cell_length_b 2.726
_cell_length_c 8.552
_cell_angle_alpha 90.00
_cell_angle_beta 93.25
_cell_angle_gamma 90.00
_symmetry_space_group_name_H-M 'P 1 2/m 1'
_symmetry_Int_Tables_number 10
_symmetry_space_group_name_Hall '-P 2y'
loop_
_atom_site_label
_atom_site_fract_x
_atom_site_fract_y
_atom_site_fract_z
_atom_site_occupancy
Ga1 0.070 0.000 0.151 1
Ni1 0.199 0.000 0.667 1
Ni2 0.440 0.000 0.210 1
Ni3 0.500 0.000 0.500 1
Pt1 0.177 0.500 0.403 1
Pt2 0.278 0.500 0.941 1
```

Properties
Energy of formation from the pure elements   -0.164 eV per atom


# 6
Computed, not measured: a relaxed structure of LaCoRe2 at the PBE level of DFT.

Cell and atoms, written as CIF:
```
data_LaCoRe2
_cell_length_a 4.2951
_cell_length_b 4.2951
_cell_length_c 15.7653
_cell_angle_alpha 90.00
_cell_angle_beta 90.00
_cell_angle_gamma 120.00
_symmetry_space_group_name_H-M 'R 3 m'
_symmetry_Int_Tables_number 160
_symmetry_space_group_name_Hall 'R 3 -2"'
loop_
_atom_site_label
_atom_site_fract_x
_atom_site_fract_y
_atom_site_fract_z
_atom_site_occupancy
La1 0.0000 0.0000 0.0000 1
Co1 0.0000 0.0000 0.1864 1
Re1 0.0000 0.0000 0.5024 1
Re2 0.0000 0.0000 0.8010 1
```

Properties
Distance to the lowest polymorph of the same formula   0 meV per atom
Energy of formation from the pure elements   0.167 eV per atom


Number 1: total energy -2.235 eV/atom. Number 2: total energy -3.718 eV/atom. Number 3: total energy -3.847 eV/atom. Number 4: total energy -4.078 eV/atom. Number 5: total energy -5.539 eV/atom. Number 6: total energy -9.066 eV/atom.